LaBeAgC2 | PBE-GGA | relaxed

The formation energy comes out at 793.1 kJ/mol of formula units.

The space group is P4/mmm (No. 123) and the conventional cell measures 3.965, 3.965 and 4.858 Å, with angles of 90.00, 90.00 and 90.00 degrees. The distinct sites, in fractional coordinates, are La at (0.000, 0.000, 0.000), Be at (0.000, 0.000, 0.500), Ag at (0.500, 0.500, 0.000) and C at (0.000, 0.500, 0.500).